# Tc2AgBr8

An optimized crystal structure of Tc2AgBr8 (PBE, Alexandria).

Unit cell a=6.9345 b=8.2067 c=8.2067 alpha=73.44 beta=84.39 gamma=84.39
Last column: nearest neighbours and their distance in Å.
Element x y z (fractional)
Tc  0.6628  0.7915  0.7915  4 Br 2.36-2.39
Tc  0.3372  0.2085  0.2085  4 Br 2.36-2.39
Ag  0.0000  0.0000  0.0000  6 Br 2.86-3.04
Br  0.2056  0.3002  0.9356  1 Tc 2.39
Br  0.7944  0.0644  0.6998  1 Tc 2.39
Br  0.3190  0.8200  0.8200  1 Tc 2.37
Br  0.6810  0.1800  0.1800  1 Tc 2.37
Br  0.2056  0.9356  0.3002  1 Tc 2.39
Br  0.7944  0.6998  0.0644  1 Tc 2.39
Br  0.7944  0.6176  0.6176  1 Tc 2.36
Br  0.2056  0.3824  0.3824  1 Tc 2.36

Formation energy (no corrections) = -123 meV/atom
Energy above the most stable polymorph in this dataset = 128 meV per atom
DOS(E_F) = 0.871 states/eV per atom
Density = 3.5 Mg/m³